The following is a PBE-GGA calculation of a geometry-optimized PIr2Rh structure, from the Alexandria database.

Summary:
symmetry	R3m
energy relative to the elements	-0.096	eV/atom
density of states at the Fermi level	3.96	states/eV/cell

abc: 8.2920 8.2920 8.2920
angles: 19.56 19.56 19.56
Closest atoms and distances in Å follow each position.
Positions (direct):
P  0.0000  0.0000  0.0000  3 Rh 2.38, 3 Ir 2.41
Ir  0.5007  0.5007  0.5007  9 Ir 2.82, 3 Rh 2.82
Ir  0.7395  0.7395  0.7395  3 P 2.41
Rh  0.2619  0.2619  0.2619  3 P 2.38